# Fe10O11F9, optimized geometry, DFT PBE+U
# E above lowest polymorph = 271 meV/atom
# DOS(E_F) = 0.8 states/eV/cell
# magnetic moment = 10.98 μB/f.u.
data_Fe10O11F9
_chemical_formula_sum 'Fe10 O11 F9'
_symmetry_space_group_name_H-M 'P 1 m 1'
_symmetry_Int_Tables_number 6
_cell_length_a 4.644
_cell_length_b 15.011
_cell_length_c 4.681
_cell_angle_alpha 90.00
_cell_angle_beta 96.61
_cell_angle_gamma 90.00
loop_
_symmetry_equiv_pos_as_xyz
'x,y,z'
'x,-y,z'
loop_
_atom_site_label
_atom_site_type_symbol
_atom_site_fract_x
_atom_site_fract_y
_atom_site_fract_z
Fe1 Fe 0.000 0.000 0.000
Fe2 Fe 0.018 0.399 0.035
Fe3 Fe 0.020 0.197 0.035
Fe4 Fe 0.480 0.107 0.584
Fe5 Fe 0.517 0.301 0.536
Fe6 Fe 0.518 0.500 0.535
O1 O 0.196 0.096 0.868
O2 O 0.314 0.201 0.342
O3 O 0.325 0.400 0.338
O4 O 0.711 0.000 0.722
O5 O 0.717 0.400 0.725
O6 O 0.718 0.202 0.739
F1 F 0.211 0.500 0.845
F2 F 0.216 0.298 0.845
F3 F 0.293 0.000 0.348
F4 F 0.819 0.095 0.212
F5 F 0.826 0.500 0.222
F6 F 0.827 0.297 0.225